Compound: Nd2CuTe2O2
Source: the Alexandria database
Functional: PBE
Structure: optimized geometry

Values from the calculation:
Crystal system   trigonal
Raw formation energy   -1239.8 kJ/mol of formula units

Cell: 4.0085 4.0085 12.4626 Å, 90.00 90.00 120.00°
Last column: nearest neighbours and their distance in Å.
Element x y z (fractional)
O: 0.6667 0.3333 0.5732  4 Nd 2.39-2.42
O: 0.3333 0.6667 0.4268  4 Nd 2.39-2.42
Nd: 0.3333 0.6667 0.6208  4 O 2.39-2.42
Nd: 0.6667 0.3333 0.3792  4 O 2.39-2.42
Te: 0.0000 0.0000 0.8063  1 Cu 2.41
Te: 0.0000 0.0000 0.1937  1 Cu 2.41
Cu: 0.0000 0.0000 0.0000  2 Te 2.41